(1)
DFT (PBE-GGA) results for a relaxed structure of In12Hg6Sb.

Properties
DFT total energy ... -2.011 eV/atom
Calculated density ... 8.44 Mg/m³
N(E_F) ... 5.953 states/eV per cell

Structure (CIF):
```
data_In12Hg6Sb
_chemical_formula_sum 'In12 Hg6 Sb1'
_cell_length_a 8.314
_cell_length_b 8.946
_cell_length_c 9.101
_cell_angle_alpha 63.13
_cell_angle_beta 90.00
_cell_angle_gamma 65.00
_space_group_name_H-M_alt 'P -1'
_space_group_IT_number 2
loop_
_space_group_symop_operation_xyz
'x,y,z'
'-x,-y,-z'
loop_
_atom_site_label
_atom_site_fract_x
_atom_site_fract_y
_atom_site_fract_z
In1 0.021 0.319 0.192
In2 0.100 0.788 0.070
In3 0.104 0.384 0.680
In4 0.266 0.684 0.436
In5 0.269 0.958 0.760
In6 0.458 0.382 0.821
Hg1 0.329 0.048 0.089
Hg2 0.359 0.392 0.136
Hg3 0.439 0.194 0.519
Sb1 0.000 0.000 0.500
```

(2)
DFT (PBE-GGA) results for a relaxed structure of TmAl3AgAu.

Properties
Formation enthalpy at 0 K ... -21 kJ per mole of atoms
Calculated density ... 7.91 Mg/m³
N(E_F) ... 10.656 states/eV per cell

Structure (CIF):
```
data_TmAl3AgAu
_chemical_formula_sum 'Tm4 Al12 Ag4 Au4'
_cell_length_a 6.056
_cell_length_b 13.232
_cell_length_c 5.810
_cell_angle_alpha 90.00
_cell_angle_beta 90.00
_cell_angle_gamma 90.00
_space_group_name_H-M_alt 'C m c m'
_space_group_IT_number 63
_space_group_name_Hall '-C 2c 2'
loop_
_atom_site_label
_atom_site_fract_x
_atom_site_fract_y
_atom_site_fract_z
Tm1 0.000 0.191 0.250
Al1 0.000 0.363 0.750
Al2 0.212 0.000 0.000
Ag1 0.000 0.401 0.250
Au1 0.000 0.162 0.750
```